[1]
12
Lattice="3.3453 0.0000 0.0000 -1.6727 2.8971 0.0000 0.0000 0.0000 29.0855" Properties=species:S:1:pos:R:3 comment="Te2Mo3WSe4S2 (PBE, relaxed)" space_group="P3m1, No. 156" raw_formation_energy_ev_per_atom=-0.54 de_polymorph_mev_per_atom=35.8 pbc="T T T"
Te 0.0000 0.0000 0.0000
Te 0.0000 0.0000 3.8199
Mo 0.0000 0.0000 9.2422
Mo 0.0000 0.0000 23.4432
Mo 0.0000 1.9314 16.1372
W 0.0000 1.9314 1.9094
Se 0.0000 0.0000 14.4709
Se 0.0000 0.0000 17.8029
Se 0.0000 1.9314 21.7764
Se 0.0000 1.9314 25.1095
S 0.0000 1.9314 7.7273
S 0.0000 1.9314 10.7574

=====

[2]
12
Lattice="7.5403 -3.4378 0.0000 7.5403 3.4378 0.0000 -2.9376 0.0000 8.9397" Properties=species:S:1:pos:R:3 comment="Rb3HBr2 (PBE, relaxed)" space_group="C2/c, No. 15" e_tot_ev_per_atom=-2.7986 pbc="T T T"
Rb 5.3371 3.2531 6.7048
Rb 4.0568 -0.0027 3.8097
Rb 2.5880 0.0027 8.2796
Rb 9.5550 -0.0027 0.6602
Rb 8.0862 0.0027 5.1300
Rb 6.8059 -3.2531 2.2349
H 5.3371 0.1517 6.7048
H 6.8059 -0.1517 2.2349
Br 2.3274 -0.0024 0.7646
Br 0.8586 0.0024 5.2344
Br 11.2844 -0.0024 3.7053
Br 9.8156 0.0024 8.1752

=====

[3]
6
Lattice="2.2893 -5.2376 0.0000 2.2893 5.2376 0.0000 0.0000 0.0000 4.5500" Properties=species:S:1:pos:R:3 comment="Li5Sb (PBE, relaxed)" space_group="Cmmm, No. 65" raw_formation_energy_ev_per_atom=-0.38 de_polymorph_mev_per_atom=35.6 pbc="T T T"
Li 0.0000 0.0000 0.0000
Li 2.2893 3.4969 2.2750
Li 2.2893 1.6041 0.0000
Li 2.2893 -1.6041 0.0000
Li 2.2893 -3.4969 2.2750
Sb 2.2893 0.0000 2.2750

=====

[4]
20
Lattice="6.4214 -7.1487 0.0000 6.4214 7.1487 0.0000 -2.7285 0.0000 6.3044" Properties=species:S:1:pos:R:3 comment="RbGaGe2S6 (PBE, relaxed)" space_group="C2/c, No. 15" raw_formation_energy_ev_per_atom=-0.46 pbc="T T T"
Rb 4.3750 5.6368 4.7283
Rb 5.7392 -5.6368 1.5761
Ga 5.7392 3.7897 1.5761
Ga 4.3750 -3.7897 4.7283
Ge 1.5474 1.1080 5.3868
Ge 2.9117 -1.1080 2.2346
Ge 7.2025 1.1080 4.0698
Ge 8.5668 -1.1080 0.9176
S -0.5682 1.4701 4.7822
S 0.7961 -1.4701 1.6300
S 2.9026 2.8537 5.8381
S 2.9443 0.7248 3.5422
S 5.8473 2.8537 3.6186
S 4.3086 -0.7248 0.3900
S 5.8056 0.7248 5.9144
S 4.2669 -2.8537 2.6859
S 7.1699 -0.7248 2.7622
S 7.2115 -2.8537 0.4664
S 9.3181 1.4701 4.6744
S 10.6823 -1.4701 1.5222

=====

Magnetic moment, respectively: 0.000, 0.057, 0.000, 0.000 Bohr magnetons per cell.